Entry 1:
Computed, not measured: NaLi2GaTe after structural relaxation at the PBE-GGA level of DFT.

Geometry as POSCAR:
```
NaLi2GaTe
1.0
-3.867 2.258 -2.656
-0.341 -4.193 -3.067
-3.649 -2.213 3.431
Li Ga Te Na
2 1 1 1
Direct
0.500 0.000 0.000
0.000 0.500 0.000
0.500 0.500 0.500
0.000 0.000 0.500
0.000 0.000 0.000
```

Summary:
Total energy = -10.42 eV/cell
Density of states at the Fermi level = 0.64 states/eV/cell
Magnetic moment = 0.00 μB per formula unit

Entry 2:
Computed, not measured: Tm11Co4Hg9 after structural relaxation at the PBE-GGA level of DFT.

Geometry as POSCAR:
```
Tm11Co4Hg9
1.0
-3.031 -1.298 -1.383
6.643 -8.725 -6.374
-3.512 -4.046 11.497
Hg Tm Co
9 11 4
Direct
0.500 0.851 0.370
0.500 0.783 0.932
0.500 0.630 0.149
0.500 0.149 0.630
0.500 0.370 0.851
0.500 0.217 0.068
0.500 0.932 0.783
0.500 0.500 0.500
0.500 0.068 0.217
0.000 0.000 0.000
0.000 0.631 0.369
0.000 0.165 0.835
0.000 0.369 0.631
0.000 0.835 0.165
0.000 0.419 0.090
0.000 0.090 0.419
0.000 0.910 0.581
0.000 0.696 0.696
0.000 0.581 0.910
0.000 0.304 0.304
0.500 0.546 0.738
0.500 0.738 0.546
0.500 0.454 0.262
0.500 0.262 0.454
```

Summary:
Total energy = -89.99 eV/cell
Density of states at the Fermi level = 18.53 states/eV/cell
DFT formation energy = -0.403 eV per atom
Magnetic moment = 0.00 μB per formula unit

Entry 3:
Computed, not measured: Nd2Ga4Pt3Au after structural relaxation at the PBE-GGA level of DFT.

Geometry as POSCAR:
```
Nd2Ga4Pt3Au
1.0
4.327 0.000 0.000
0.000 4.327 0.000
0.000 0.000 10.554
Ga Pt Nd Au
4 3 2 1
Direct
0.000 0.000 0.000
0.500 0.000 0.636
0.500 0.500 0.000
0.000 0.500 0.364
0.000 0.000 0.500
0.000 0.500 0.130
0.500 0.000 0.870
0.500 0.000 0.241
0.000 0.500 0.759
0.500 0.500 0.500
```

Summary:
Total energy = -51.94 eV/cell
Density of states at the Fermi level = 6.67 states/eV/cell
DFT formation energy = -0.890 eV per atom
Magnetic moment = 0.00 μB per formula unit

Entry 4:
Computed, not measured: TiAlBiOs2 after structural relaxation at the PBE-GGA level of DFT.

Geometry as POSCAR:
```
TiAlBiOs2
1.0
-2.000 -0.440 -4.026
3.838 -2.814 -1.599
-2.116 -3.715 1.457
Al Os Ti Bi
1 2 1 1
Direct
0.000 0.000 0.000
0.000 0.000 0.500
0.500 0.000 0.000
0.500 0.500 0.500
0.000 0.500 0.000
```

Summary:
Total energy = -31.03 eV/cell
Density of states at the Fermi level = 7.69 states/eV/cell
DFT formation energy = 1.389 eV per atom
Magnetic moment = 0.00 μB per formula unit

Entry 5:
Computed, not measured: Ca2TcNi2 after structural relaxation at the PBE-GGA level of DFT.

Geometry as POSCAR:
```
Ca2TcNi2
1.0
6.384 0.000 0.000
0.000 6.384 0.000
0.000 0.000 4.607
Ca Tc Ni
4 2 4
Direct
0.819 0.319 0.500
0.681 0.819 0.500
0.319 0.181 0.500
0.181 0.681 0.500
0.500 0.500 0.000
0.000 0.000 0.000
0.633 0.133 0.000
0.867 0.633 0.000
0.367 0.867 0.000
0.133 0.367 0.000
```

Summary:
Total energy = -50.23 eV/cell
Density of states at the Fermi level = 11.08 states/eV/cell
DFT formation energy = 0.163 eV per atom
Magnetic moment = 0.00 μB per formula unit

Entry 6:
Computed, not measured: CeMnGe2Ir after structural relaxation at the PBE-GGA level of DFT.

Geometry as POSCAR:
```
CeMnGe2Ir
1.0
4.092 0.000 0.000
0.000 4.092 0.000
-2.046 -2.046 5.364
Ge Ir Ce Mn
2 1 1 1
Direct
0.619 0.619 0.237
0.381 0.381 0.763
0.250 0.750 0.500
0.000 0.000 0.000
0.750 0.250 0.500
```

Summary:
Total energy = -36.21 eV/cell
Density of states at the Fermi level = 7.44 states/eV/cell
DFT formation energy = -0.603 eV per atom
Magnetic moment = 2.06 μB per formula unit

Entry 7:
Computed, not measured: AlInAg14 after structural relaxation at the PBE-GGA level of DFT.

Geometry as POSCAR:
```
AlInAg14
1.0
-2.430 -4.192 -3.174
5.107 1.917 -1.947
4.474 -6.576 5.260
Ag In Al
14 1 1
Direct
0.199 0.312 0.000
0.371 0.629 0.252
0.864 0.618 0.748
0.876 0.124 0.245
0.876 0.124 0.755
0.564 0.945 0.500
0.688 0.801 0.000
0.695 0.305 0.000
0.191 0.809 0.000
0.382 0.136 0.748
0.371 0.629 0.748
0.382 0.136 0.252
0.055 0.436 0.500
0.864 0.618 0.252
0.062 0.938 0.500
0.558 0.442 0.500
```

Summary:
Total energy = -46.13 eV/cell
Density of states at the Fermi level = 4.03 states/eV/cell
DFT formation energy = 0.017 eV per atom
Magnetic moment = 0.00 μB per formula unit

Entry 8:
Computed, not measured: Be4Co after structural relaxation at the PBE-GGA level of DFT.

Geometry as POSCAR:
```
Be4Co
1.0
-2.419 2.419 2.419
2.419 -2.419 2.419
2.419 2.419 -2.419
Be Co
4 1
Direct
0.500 0.000 0.000
0.000 0.500 0.000
0.500 0.500 0.500
0.000 0.000 0.500
0.000 0.000 0.000
```

Summary:
Total energy = -19.94 eV/cell
Energy above the lowest structure with this stoichiometry = 0.6167 eV/atom
Density of states at the Fermi level = 4.63 states/eV/cell
DFT formation energy = 0.414 eV per atom
Magnetic moment = 0.00 μB per formula unit

Entry 9:
Computed, not measured: Tb2TlOsC after structural relaxation at the PBE-GGA level of DFT.

Geometry as POSCAR:
```
Tb2TlOsC
1.0
-0.942 -0.820 3.744
-3.130 -3.681 -1.594
3.823 -3.350 0.229
Os Tb C Tl
1 2 1 1
Direct
0.500 0.000 0.000
0.000 0.500 0.000
0.000 0.000 0.500
0.000 0.000 0.000
0.500 0.500 0.500
```

Summary:
Total energy = -33.75 eV/cell
Density of states at the Fermi level = 2.66 states/eV/cell
DFT formation energy = -0.335 eV per atom
Magnetic moment = 0.00 μB per formula unit

Entry 10:
Computed, not measured: Li2NiAu2 after structural relaxation at the PBE-GGA level of DFT.

Geometry as POSCAR:
```
Li2NiAu2
1.0
-2.669 -2.304 5.602
2.308 -6.047 -1.387
3.143 0.782 1.819
Li Au Ni
4 4 2
Direct
0.660 0.840 0.500
0.340 0.160 0.500
0.160 0.660 0.500
0.840 0.340 0.500
0.147 0.353 0.000
0.647 0.147 0.000
0.853 0.647 0.000
0.353 0.853 0.000
0.500 0.500 0.000
0.000 0.000 0.000
```

Summary:
Total energy = -34.22 eV/cell
Energy above the lowest structure with this stoichiometry = 0.0000 eV/atom
Density of states at the Fermi level = 0.51 states/eV/cell
DFT formation energy = -0.190 eV per atom
Magnetic moment = 0.00 μB per formula unit

Entry 11:
Computed, not measured: Tb2CuAg after structural relaxation at the PBE-GGA level of DFT.

Geometry as POSCAR:
```
Tb2CuAg
1.0
5.062 0.000 0.000
2.531 4.384 0.000
2.531 1.461 4.133
Ag Cu Tb
1 1 2
Direct
0.000 0.000 0.000
0.500 0.500 0.500
0.750 0.750 0.750
0.250 0.250 0.250
```

Summary:
Total energy = -17.23 eV/cell
Energy above the lowest structure with this stoichiometry = 0.0199 eV/atom
Density of states at the Fermi level = 2.46 states/eV/cell
DFT formation energy = -0.255 eV per atom
Magnetic moment = 0.00 μB per formula unit

Entry 12:
Computed, not measured: La2CdAg2 after structural relaxation at the PBE-GGA level of DFT.

Geometry as POSCAR:
```
La2CdAg2
1.0
5.939 0.000 0.000
0.000 5.939 0.000
2.970 2.970 4.217
Cd Ag La
1 2 2
Direct
0.000 0.000 0.000
0.347 0.347 0.306
0.653 0.653 0.694
0.750 0.250 0.500
0.250 0.750 0.500
```

Summary:
Total energy = -16.90 eV/cell
Density of states at the Fermi level = 7.47 states/eV/cell
DFT formation energy = -0.085 eV per atom
Magnetic moment = 0.00 μB per formula unit

Entry 13:
Computed, not measured: K2RbGaAg after structural relaxation at the PBE-GGA level of DFT.

Geometry as POSCAR:
```
K2RbGaAg
1.0
6.694 0.000 0.000
0.000 6.694 0.000
0.000 0.000 5.075
Rb Ag K Ga
1 1 2 1
Direct
0.500 0.500 0.500
0.000 0.000 0.000
0.500 0.000 0.000
0.000 0.500 0.000
0.000 0.000 0.500
```

Summary:
Total energy = -8.67 eV/cell
Energy above the lowest structure with this stoichiometry = 0.0000 eV/atom
Density of states at the Fermi level = 3.36 states/eV/cell
DFT formation energy = 0.075 eV per atom
Magnetic moment = 0.00 μB per formula unit

Entry 14:
Computed, not measured: KNa2Ga after structural relaxation at the PBE-GGA level of DFT.

Geometry as POSCAR:
```
KNa2Ga
1.0
5.378 0.000 0.000
2.689 4.658 0.000
2.689 1.553 6.038
Na K Ga
2 1 1
Direct
0.288 0.288 0.135
0.024 0.024 0.929
0.493 0.493 0.522
0.696 0.696 0.913
```

Summary:
Total energy = -6.38 eV/cell
Density of states at the Fermi level = 3.86 states/eV/cell
DFT formation energy = 0.096 eV per atom
Magnetic moment = 0.00 μB per formula unit

Entry 15:
Computed, not measured: PmDyAl3 after structural relaxation at the PBE-GGA level of DFT.

Geometry as POSCAR:
```
PmDyAl3
1.0
4.559 0.000 0.000
0.000 3.664 0.000
0.000 -1.832 13.861
Pm Al Dy
2 6 2
Direct
0.750 0.928 0.855
0.250 0.072 0.145
0.250 0.672 0.345
0.750 0.620 0.240
0.750 0.328 0.655
0.750 0.524 0.048
0.250 0.380 0.760
0.250 0.476 0.952
0.250 0.789 0.578
0.750 0.211 0.422
```

Summary:
Total energy = -45.65 eV/cell
Density of states at the Fermi level = 6.34 states/eV/cell
DFT formation energy = -0.449 eV per atom
Magnetic moment = 0.33 μB per formula unit

Entry 16:
Computed, not measured: SnH3W after structural relaxation at the PBE-GGA level of DFT.

Geometry as POSCAR:
```
SnH3W
1.0
-2.742 -1.482 -2.068
1.389 -3.419 0.608
-2.131 -0.322 3.057
W Sn H
1 1 3
Direct
0.500 0.500 0.500
0.000 0.000 0.000
0.000 0.500 0.000
0.000 0.000 0.500
0.500 0.000 0.000
```

Summary:
Total energy = -19.15 eV/cell
Energy above the lowest structure with this stoichiometry = 1.0465 eV/atom
Density of states at the Fermi level = 3.55 states/eV/cell
Magnetic moment = 0.00 μB per formula unit

Entry 17:
Computed, not measured: PrNd2Mg after structural relaxation at the PBE-GGA level of DFT.

Geometry as POSCAR:
```
PrNd2Mg
1.0
-0.395 3.013 4.054
-2.291 -3.717 2.539
4.484 -1.635 1.652
Nd Mg Pr
2 1 1
Direct
0.000 0.000 0.500
0.000 0.500 0.000
0.500 0.000 0.000
0.500 0.500 0.500
```

Summary:
Total energy = -15.93 eV/cell
Energy above the lowest structure with this stoichiometry = 0.0387 eV/atom
Density of states at the Fermi level = 7.71 states/eV/cell
DFT formation energy = -0.004 eV per atom
Magnetic moment = 0.00 μB per formula unit

Entry 18:
Computed, not measured: PmHoThAl after structural relaxation at the PBE-GGA level of DFT.

Geometry as POSCAR:
```
PmHoThAl
1.0
5.420 0.000 0.000
2.710 4.694 0.000
2.710 1.565 4.425
Al Ho Th Pm
1 1 1 1
Direct
0.250 0.250 0.250
0.750 0.750 0.750
0.000 0.000 0.000
0.500 0.500 0.500
```

Summary:
Total energy = -20.57 eV/cell
Density of states at the Fermi level = 4.42 states/eV/cell
DFT formation energy = -0.020 eV per atom
Magnetic moment = 0.00 μB per formula unit

Entry 19:
Computed, not measured: Sr2AcTl2 after structural relaxation at the PBE-GGA level of DFT.

Geometry as POSCAR:
```
Sr2AcTl2
1.0
-0.801 -4.060 -0.286
3.856 -0.446 -4.463
11.741 -0.921 10.236
Tl Sr Ac
4 4 2
Direct
0.452 0.750 0.904
0.639 0.750 0.280
0.548 0.250 0.096
0.361 0.250 0.720
0.955 0.250 0.910
0.772 0.250 0.543
0.045 0.750 0.090
0.228 0.750 0.457
0.140 0.250 0.281
0.860 0.750 0.719
```

Summary:
Total energy = -27.33 eV/cell
Energy above the lowest structure with this stoichiometry = 0.0000 eV/atom
Density of states at the Fermi level = 10.36 states/eV/cell
DFT formation energy = -0.292 eV per atom
Magnetic moment = 0.03 μB per formula unit

Entry 20:
Computed, not measured: Sr2MnInN after structural relaxation at the PBE-GGA level of DFT.

Geometry as POSCAR:
```
Sr2MnInN
1.0
-2.226 -1.948 -4.806
-4.788 -1.235 2.718
-1.340 3.468 -0.785
Sr In Mn N
2 1 1 1
Direct
0.500 0.000 0.000
0.000 0.500 0.000
0.500 0.500 0.500
0.000 0.000 0.500
0.000 0.000 0.000
```

Summary:
Total energy = -25.40 eV/cell
Density of states at the Fermi level = 3.10 states/eV/cell
Magnetic moment = 3.25 μB per formula unit

Entry 21:
Computed, not measured: VSnSb after structural relaxation at the PBE-GGA level of DFT.

Geometry as POSCAR:
```
VSnSb
1.0
5.376 -0.034 0.000
-2.604 4.704 0.000
-1.386 -2.335 4.819
V Sn Sb
2 2 2
Direct
0.750 0.250 0.500
0.250 0.750 0.500
0.341 0.659 0.000
0.659 0.341 0.000
0.156 0.156 0.311
0.844 0.844 0.689
```

Summary:
Total energy = -34.98 eV/cell
Density of states at the Fermi level = 3.92 states/eV/cell
Magnetic moment = 0.00 μB per formula unit

Entry 22:
Computed, not measured: LiEuPb4 after structural relaxation at the PBE-GGA level of DFT.

Geometry as POSCAR:
```
LiEuPb4
1.0
-1.686 1.051 6.228
2.487 -3.756 4.739
4.359 2.485 4.192
Eu Pb Li
1 4 1
Direct
0.000 0.000 0.000
0.625 0.625 0.625
0.625 0.625 0.124
0.625 0.124 0.625
0.124 0.625 0.625
0.250 0.250 0.250
```

Summary:
Total energy = -27.89 eV/cell
Density of states at the Fermi level = 19.37 states/eV/cell
DFT formation energy = -0.145 eV per atom
Magnetic moment = 7.23 μB per formula unit

Entry 23:
Computed, not measured: NaAlPb after structural relaxation at the PBE-GGA level of DFT.

Geometry as POSCAR:
```
NaAlPb
1.0
-1.590 3.587 4.963
4.566 -3.003 3.048
0.986 4.709 -0.737
Pb Na Al
2 2 2
Direct
0.747 0.605 0.926
0.253 0.395 0.074
0.318 0.809 0.746
0.682 0.191 0.254
0.910 0.802 0.445
0.090 0.198 0.555
```

Summary:
Total energy = -17.45 eV/cell
Density of states at the Fermi level = 1.88 states/eV/cell
DFT formation energy = 0.015 eV per atom
Magnetic moment = 0.00 μB per formula unit

Entry 24:
Computed, not measured: ScTe2Ir after structural relaxation at the PBE-GGA level of DFT.

Geometry as POSCAR:
```
ScTe2Ir
1.0
-2.893 -2.096 1.529
2.550 0.470 5.470
-0.155 3.519 4.533
Te Sc Ir
2 1 1
Direct
0.000 0.000 0.000
0.500 0.500 0.000
0.000 0.000 0.500
0.500 0.500 0.500
```

Summary:
Total energy = -22.94 eV/cell
Energy above the lowest structure with this stoichiometry = 0.3160 eV/atom
Density of states at the Fermi level = 2.99 states/eV/cell
Magnetic moment = 0.00 μB per formula unit

Entry 25:
Computed, not measured: SbTe2IN after structural relaxation at the PBE-GGA level of DFT.

Geometry as POSCAR:
```
SbTe2IN
1.0
-2.124 -4.472 3.508
3.565 -3.965 -2.896
2.864 0.678 2.598
Te Sb N I
2 1 1 1
Direct
0.500 0.000 0.000
0.000 0.500 0.000
0.000 0.000 0.000
0.000 0.000 0.500
0.500 0.500 0.500
```

Summary:
Total energy = -15.96 eV/cell
Energy above the lowest structure with this stoichiometry = 0.0639 eV/atom
Density of states at the Fermi level = 4.79 states/eV/cell
Magnetic moment = 0.00 μB per formula unit